# Tb12PmSc5 | Alexandria via LeMat-Bulk | PBE | relaxed
data_Tb12PmSc5
_chemical_formula_sum 'Tb24 Pm2 Sc10'
_cell_length_a 6.059
_cell_length_b 10.492
_cell_length_c 17.015
_cell_angle_alpha 90.00
_cell_angle_beta 96.79
_cell_angle_gamma 90.00
_symmetry_space_group_name_H-M 'C 1 2/m 1'
_symmetry_Int_Tables_number 12
_symmetry_space_group_name_Hall '-C 2y'
loop_
_atom_site_label
_atom_site_fract_x
_atom_site_fract_y
_atom_site_fract_z
Tb1 0.113 0.000 0.339
Tb2 0.113 0.333 0.339
Tb3 0.218 0.500 0.166
Tb4 0.225 0.169 0.166
Pm1 0.000 0.000 0.000
Sc1 0.000 0.166 0.500
Sc2 0.000 0.333 0.000
Sc3 0.000 0.500 0.500
# total energy	-0.3729	Ry per atom
# crystal system	monoclinic
# total magnetization	0.00	μB/f.u.
# formation energy from the elements	3.5	kJ/mol of atoms